Record 1
LiCaS2, optimized geometry, DFT PBE; symmetry = I-42d; formation energy from raw total energies = -1.244 eV/atom
1.0
-3.531 3.531 3.111
3.531 -3.531 3.111
3.531 3.531 -3.111
Li Ca S
2 2 4
Direct
0.000 0.000 0.000
0.750 0.250 0.500
0.250 0.750 0.500
0.500 0.500 0.000
0.096 0.125 0.471
0.375 0.904 0.029
0.654 0.625 0.529
0.875 0.346 0.971

Record 2
LiCa5S6, optimized geometry, DFT PBE; symmetry = C2/m; formation energy from raw total energies = -1.853 eV/atom
1.0
3.470 -6.012 0.000
3.470 6.012 0.000
-2.314 0.000 6.540
Li Ca S
1 5 6
Direct
0.000 0.000 0.000
0.165 0.835 0.500
0.333 0.667 0.000
0.500 0.500 0.500
0.667 0.333 0.000
0.835 0.165 0.500
0.083 0.415 0.249
0.249 0.249 0.751
0.415 0.083 0.249
0.585 0.917 0.751
0.751 0.751 0.249
0.917 0.585 0.751

Record 3
Li3CaS, optimized geometry, DFT PBE; distance to the lowest polymorph of the same formula = 0.000 eV/atom; symmetry = Pm-3m; formation energy from raw total energies = -0.492 eV/atom
1.0
4.831 0.000 0.000
0.000 4.831 0.000
0.000 0.000 4.831
Li Ca S
3 1 1
Direct
0.000 0.000 0.500
0.000 0.500 0.000
0.500 0.000 0.000
0.500 0.500 0.500
0.000 0.000 0.000

Record 4
LiCaS2, optimized geometry, DFT PBE; symmetry = Fm-3m; formation energy from raw total energies = -1.181 eV/atom
1.0
0.000 3.364 3.364
3.364 0.000 3.364
3.364 3.364 0.000
Li Ca S
1 1 2
Direct
0.000 0.000 0.000
0.500 0.500 0.500
0.250 0.250 0.250
0.750 0.750 0.750

Record 5
LiCa2SbS4, optimized geometry, DFT PBE; symmetry = P2/m; formation energy from raw total energies = -1.358 eV/atom
1.0
6.833 0.000 0.000
0.000 3.990 0.000
-2.192 0.000 6.485
Li Ca Sb S
1 2 1 4
Direct
0.000 0.000 0.000
0.500 0.000 0.500
0.500 0.500 0.000
0.000 0.500 0.500
0.239 0.000 0.750
0.244 0.500 0.251
0.756 0.500 0.749
0.761 0.000 0.250

Record 6
Li2CaSbS4, optimized geometry, DFT PBE; symmetry = Imma; formation energy from raw total energies = -1.058 eV/atom
1.0
-3.803 3.892 5.446
3.803 -3.892 5.446
3.803 3.892 -5.446
Li Ca Sb S
4 2 2 8
Direct
0.000 0.000 0.000
0.500 0.000 0.000
0.500 0.000 0.500
0.500 0.500 0.500
0.000 0.500 0.500
0.500 0.500 0.000
0.000 0.000 0.500
0.000 0.500 0.000
0.239 0.243 0.997
0.240 0.230 0.489
0.240 0.751 0.011
0.254 0.757 0.497
0.746 0.243 0.503
0.760 0.249 0.989
0.760 0.770 0.511
0.761 0.757 0.003

E_tot values (in eV per atom) by entry order: -4.2864; -4.9103; -2.8658; -4.2232; -4.6764; -4.3657.